The following is a DFT calculation (GGA-PBE) of a relaxed structure of LaOsN3.

Results
DFT total energy ... -8.4923 eV/atom
Space group ... No. 166
ΔE_f (raw) ... -266 meV/atom

a b c (Å): 6.090 6.090 6.090
angles (deg): 52.82 52.82 52.82
Atoms (fractional coordinates):
N (0.926, 0.418, 0.418)
N (0.418, 0.926, 0.418)
N (0.582, 0.074, 0.582)
N (0.418, 0.418, 0.926)
N (0.582, 0.582, 0.074)
La (0.124, 0.124, 0.124)
Os (0.664, 0.664, 0.664)
La (0.876, 0.876, 0.876)
N (0.074, 0.582, 0.582)
Os (0.336, 0.336, 0.336)


The following is a DFT calculation (GGA-PBE) of a relaxed structure of LaOsN3.

Results
DFT total energy ... -8.5694 eV/atom
Space group ... No. 1
ΔE_f (raw) ... -343 meV/atom

a b c (Å): 6.260 4.177 6.150
angles (deg): 90.07 88.55 74.12
Atoms (fractional coordinates):
La (0.408, 0.921, 0.591)
N (0.689, 0.266, 0.476)
Os (0.105, 0.602, 0.939)
N (0.986, 0.516, 0.220)
La (0.723, 0.207, 0.059)
N (0.440, 0.866, 0.170)
Os (0.901, 0.478, 0.501)
N (0.797, 0.661, 0.810)
N (0.192, 0.527, 0.624)
N (0.330, 0.725, 0.067)


The following is a DFT calculation (GGA-PBE) of a relaxed structure of LaOsN3.

Results
DFT total energy ... -5.6997 eV/atom
Space group ... No. 221
ΔE_f (raw) ... 2527 meV/atom

a b c (Å): 4.244 4.244 4.244
angles (deg): 90.00 90.00 90.00
Atoms (fractional coordinates):
N (0.000, 0.500, 0.000)
N (0.500, 0.000, 0.000)
N (0.000, 0.000, 0.500)
La (0.000, 0.000, 0.000)
Os (0.500, 0.500, 0.500)


The following is a DFT calculation (GGA-PBE) of a relaxed structure of La5OsN8.

Results
DFT total energy ... -8.0469 eV/atom
Space group ... No. 216
ΔE_f (raw) ... -728 meV/atom

a b c (Å): 7.171 7.171 7.171
angles (deg): 119.99 90.02 119.99
Atoms (fractional coordinates):
N (0.147, 0.293, 0.854)
N (0.560, 0.707, 0.853)
La (0.500, 0.000, 0.500)
N (0.640, 0.280, 0.920)
La (0.872, 0.256, 0.128)
Os (0.250, 0.500, 0.750)
La (0.872, 0.744, 0.128)
La (0.384, 0.256, 0.128)
N (0.640, 0.280, 0.360)
N (0.640, 0.720, 0.360)
N (0.080, 0.720, 0.360)
N (0.147, 0.707, 0.853)
N (0.146, 0.293, 0.440)
La (0.872, 0.744, 0.616)


The following is a DFT calculation (GGA-PBE) of a relaxed structure of La12Os3N5.

Results
DFT total energy ... -7.3704 eV/atom
Space group ... No. 230
ΔE_f (raw) ... -648 meV/atom

a b c (Å): 13.823 13.823 13.823
angles (deg): 109.47 109.47 109.47
Atoms (fractional coordinates):
La (0.377, 0.403, 0.083)
La (0.903, 0.083, 0.877)
La (0.597, 0.973, 0.680)
N (0.500, 0.500, 0.000)
La (0.706, 0.583, 0.180)
N (0.250, 0.375, 0.625)
Os (0.250, 0.625, 0.875)
La (0.206, 0.527, 0.623)
N (0.750, 0.125, 0.875)
N (0.750, 0.625, 0.375)
La (0.083, 0.180, 0.206)
Os (0.875, 0.750, 0.125)
La (0.820, 0.903, 0.027)
La (0.527, 0.206, 0.123)
La (0.973, 0.597, 0.180)
La (0.877, 0.583, 0.903)
La (0.473, 0.680, 0.097)
La (0.680, 0.206, 0.583)
N (0.000, 0.000, 0.500)
La (0.180, 0.083, 0.706)
N (0.250, 0.875, 0.125)
La (0.417, 0.123, 0.597)
La (0.206, 0.680, 0.083)
N (0.125, 0.375, 0.250)
La (0.903, 0.820, 0.527)
Os (0.250, 0.125, 0.375)
Os (0.375, 0.625, 0.250)
La (0.820, 0.917, 0.294)
La (0.027, 0.623, 0.706)
Os (0.375, 0.750, 0.625)
La (0.027, 0.403, 0.820)
N (0.875, 0.250, 0.625)
La (0.377, 0.973, 0.794)
La (0.877, 0.294, 0.473)
La (0.917, 0.097, 0.623)
La (0.794, 0.473, 0.377)
N (0.375, 0.125, 0.750)
La (0.583, 0.706, 0.680)
N (0.500, 0.000, 0.000)
La (0.320, 0.527, 0.403)
La (0.794, 0.320, 0.917)
La (0.680, 0.473, 0.597)
N (0.500, 0.500, 0.500)
N (0.625, 0.750, 0.875)
La (0.123, 0.417, 0.097)
N (0.625, 0.875, 0.250)
La (0.706, 0.123, 0.027)
Os (0.125, 0.250, 0.875)
La (0.623, 0.597, 0.917)
La (0.083, 0.903, 0.377)
La (0.973, 0.377, 0.294)
Os (0.625, 0.375, 0.750)
N (0.125, 0.750, 0.375)
La (0.473, 0.794, 0.877)
La (0.597, 0.623, 0.417)
La (0.403, 0.377, 0.583)
La (0.097, 0.180, 0.473)
La (0.123, 0.706, 0.527)
Os (0.625, 0.250, 0.375)
La (0.417, 0.294, 0.320)
N (0.375, 0.250, 0.125)
La (0.583, 0.877, 0.403)
La (0.294, 0.877, 0.973)
Os (0.875, 0.125, 0.250)
La (0.917, 0.820, 0.794)
La (0.294, 0.417, 0.820)
La (0.180, 0.097, 0.973)
La (0.320, 0.794, 0.417)
La (0.527, 0.320, 0.903)
Os (0.750, 0.875, 0.625)
Os (0.125, 0.875, 0.750)
La (0.097, 0.917, 0.123)
N (0.000, 0.500, 0.000)
La (0.623, 0.027, 0.206)
N (0.500, 0.000, 0.500)
N (0.000, 0.500, 0.500)
N (0.875, 0.625, 0.750)
N (0.000, 0.000, 0.000)
La (0.403, 0.027, 0.320)
Os (0.750, 0.375, 0.125)


The following is a DFT calculation (GGA-PBE) of a relaxed structure of LaOsN3.

Results
DFT total energy ... -8.4410 eV/atom
Space group ... No. 1
ΔE_f (raw) ... -214 meV/atom

a b c (Å): 6.224 3.969 6.392
angles (deg): 101.09 106.15 92.34
Atoms (fractional coordinates):
Os (0.130, 0.941, 0.361)
N (0.900, 0.544, 0.202)
N (0.481, 0.879, 0.899)
N (0.937, 0.233, 0.192)
La (0.809, 0.920, 0.766)
Os (0.273, 0.581, 0.654)
La (0.448, 0.457, 0.153)
N (0.474, 0.041, 0.428)
N (0.531, 0.358, 0.559)
N (0.066, 0.440, 0.775)


The following is a DFT calculation (GGA-PBE) of a relaxed structure of LaOsN3.

Results
DFT total energy ... -8.4781 eV/atom
Space group ... No. 1
ΔE_f (raw) ... -251 meV/atom

a b c (Å): 6.657 3.792 5.717
angles (deg): 81.85 102.32 87.79
Atoms (fractional coordinates):
N (0.634, 0.831, 0.898)
N (0.150, 0.058, 0.192)
Os (0.193, 0.318, 0.494)
N (0.218, 0.786, 0.667)
N (0.739, 0.577, 0.482)
Os (0.499, 0.733, 0.583)
La (0.496, 0.274, 0.100)
N (0.276, 0.744, 0.248)
N (0.866, 0.415, 0.398)
La (0.975, 0.622, 0.926)


The following is a DFT calculation (GGA-PBE) of a relaxed structure of LaOsN3.

Results
DFT total energy ... -8.5228 eV/atom
Space group ... No. 1
ΔE_f (raw) ... -296 meV/atom

a b c (Å): 7.062 4.436 6.269
angles (deg): 83.19 79.36 102.37
Atoms (fractional coordinates):
N (0.438, 0.213, 0.800)
La (0.168, 0.960, 0.568)
La (0.416, 0.610, 0.054)
Os (0.951, 0.541, 0.235)
N (0.533, 0.073, 0.675)
N (0.075, 0.605, 0.950)
Os (0.654, 0.084, 0.382)
N (0.443, 0.114, 0.246)
N (0.142, 0.472, 0.392)
N (0.822, 0.811, 0.355)


The following is a DFT calculation (GGA-PBE) of a relaxed structure of LaOsN3.

Results
DFT total energy ... -8.5403 eV/atom
Space group ... No. 1
ΔE_f (raw) ... -314 meV/atom

a b c (Å): 4.821 3.883 4.087
angles (deg): 98.70 73.93 98.59
Atoms (fractional coordinates):
Os (0.334, 0.721, 0.435)
N (0.333, 0.218, 0.423)
La (0.885, 0.222, 0.005)
N (0.887, 0.623, 0.578)
N (0.736, 0.815, 0.472)


The following is a DFT calculation (GGA-PBE) of a relaxed structure of La5OsN6.

Results
DFT total energy ... -8.0224 eV/atom
Space group ... No. 12
ΔE_f (raw) ... -871 meV/atom

a b c (Å): 6.219 6.260 6.221
angles (deg): 59.79 80.12 70.05
Atoms (fractional coordinates):
La (0.000, 0.667, 0.665)
La (0.500, 0.163, 0.674)
N (0.249, 0.234, 0.000)
N (0.773, 0.075, 0.301)
N (0.773, 0.377, 0.699)
Os (0.000, 0.000, 0.000)
N (0.227, 0.925, 0.699)
La (0.500, 0.837, 0.326)
La (0.000, 0.333, 0.335)
La (0.500, 0.500, 0.000)
N (0.227, 0.623, 0.301)
N (0.751, 0.766, 0.000)


The following is a DFT calculation (GGA-PBE) of a relaxed structure of LaOsN3.

Results
DFT total energy ... -8.2461 eV/atom
Space group ... No. 194
ΔE_f (raw) ... -19 meV/atom

a b c (Å): 3.847 3.847 11.452
angles (deg): 90.00 90.00 120.00
Atoms (fractional coordinates):
N (0.667, 0.333, 0.089)
Os (0.333, 0.667, 0.750)
N (0.000, 0.000, 0.250)
N (0.333, 0.667, 0.589)
Os (0.667, 0.333, 0.250)
La (0.000, 0.000, 0.500)
N (0.667, 0.333, 0.411)
N (0.000, 0.000, 0.750)
La (0.000, 0.000, 0.000)
N (0.333, 0.667, 0.911)


The following is a DFT calculation (GGA-PBE) of a relaxed structure of LaOsN3.

Results
DFT total energy ... -8.4461 eV/atom
Space group ... No. 1
ΔE_f (raw) ... -219 meV/atom

a b c (Å): 4.461 5.350 4.450
angles (deg): 115.40 98.08 80.52
Atoms (fractional coordinates):
La (0.870, 0.291, 0.694)
N (0.127, 0.180, 0.188)
Os (0.387, 0.880, 0.978)
N (0.667, 0.890, 0.745)
N (0.351, 0.533, 0.906)


Number 1: mass density 9.28 g/cm³. Number 2: mass density 7.97 g/cm³. Number 3: mass density 8.06 g/cm³. Number 4: mass density 6.35 g/cm³. Number 5: mass density 7.54 g/cm³. Number 6: mass density 8.32 g/cm³. Number 7: mass density 8.85 g/cm³. Number 8: mass density 6.63 g/cm³. Number 9: mass density 8.53 g/cm³. Number 10: mass density 8.18 g/cm³. Number 11: mass density 8.40 g/cm³. Number 12: mass density 6.53 g/cm³.